Density functional theory data (PBE-GGA) for Sm2YCd4 after structural relaxation.

a b c (Å): 5.3587 5.3587 8.0006
angles (deg): 109.57 109.57 90.00
Site moments in Bohr magnetons follow the coordinates.
Positions (direct):
1 Sm 0.2601 0.2601 0.5202  0.10
2 Sm 0.7399 0.7399 0.4798  0.10
3 Cd 0.1122 0.6122 0.2244  0.00
4 Cd 0.6122 0.1122 0.2244  0.00
5 Cd 0.8878 0.3878 0.7756  0.00
6 Cd 0.3878 0.8878 0.7756  0.00
7 Y 0.0000 0.0000 0.0000  -0.01

Properties
Formation energy = -169.4 meV per atom
VASP energy = -20.748 eV/cell